Be2CuBi | PBE | relaxed

Cell: 4.1580 4.1580 8.2930 Å, 75.48 75.48 90.00°
Element x y z (fractional)
Be1 0.3754 0.1250 0.2500
Be2 0.3746 0.6250 0.2500
Be3 0.3750 0.6246 0.7500
Be4 0.8750 0.6254 0.7500
Bi1 0.0000 0.0000 0.0000
Bi2 0.7500 0.2500 0.5000
Cu1 0.5000 0.5000 0.0000
Cu2 0.2500 0.7500 0.5000

Values from the calculation:
The formation energy from the elements is 426 meV/atom. The symmetry is I4_1/amd.